[1]
Below is a relaxed structure of InCu2Ru, with properties calculated at the PBEsol level.

It has space group Pmmm (No. 47), with a = 2.707 Å, b = 3.799 Å, c = 5.500 Å, α = 90.00°, β = 90.00° and γ = 90.00°. The inequivalent atoms are In at (0.000, 0.000, 0.000), Cu at (0.500, 0.500, 0.273) and Ru at (0.000, 0.000, 0.500).

The calculation puts the calculated formation energy at 0.250 eV per atom.



[2]
Below is a relaxed structure of MoN, with properties calculated at the PBEsol level.

It has space group P-6m2 (No. 187), with a = 2.8443 Å, b = 2.8443 Å, c = 2.8228 Å, α = 90.00°, β = 90.00° and γ = 120.00°. The inequivalent atoms are Mo at (0.0000, 0.0000, 0.0000) and N at (0.3333, 0.6667, 0.5000).

The formation energy (no corrections) comes out at -549 meV/atom.



[3]
Below is a relaxed structure of KFeCu2, with properties calculated at the PBEsol level.

It has space group Pmmm (No. 47), with a = 2.652 Å, b = 3.480 Å, c = 7.363 Å, α = 90.00°, β = 90.00° and γ = 90.00°. The inequivalent atoms are K at (0.000, 0.000, 0.000), Fe at (0.000, 0.000, 0.500) and Cu at (0.500, 0.500, 0.335).

The calculation puts the energy above the lowest structure with this stoichiometry at 0.000 eV per atom. The calculation puts the calculated formation energy at 0.557 eV per atom.



[4]
Below is a relaxed structure of Lu2Zn17, with properties calculated at the PBEsol level.

It has space group R-3m (No. 166, hexagonal axes), with a = 8.7475 Å, b = 8.7475 Å, c = 12.8296 Å, α = 90.00°, β = 90.00° and γ = 120.00°. The inequivalent atoms are Lu at (0.0000, 0.0000, 0.1648), Zn at (0.0000, 0.0000, 0.3995), Zn at (0.0000, 0.2992, 0.5000), Zn at (0.0000, 0.5000, 0.0000) and Zn at (0.0095, 0.5047, 0.6517).

The calculation puts the calculated formation energy at -0.224 eV per atom.